1.
## Y2CuAs (GGA-PBE)

Data for crystalline Y2CuAs at its relaxed geometry.

Cell lengths 4.091, 4.091, 7.163 Å; angles 73.57, 73.57, 59.76 degrees
Element x y z (fractional)
As1 0.750 0.750 0.750
Cu1 0.250 0.250 0.250
Y1 0.003 0.003 0.992
Y2 0.497 0.497 0.508

Its space group is C2/m. As for the size of the total moment: 0.0 μB/f.u. The calculation puts the mass density at 5.37 Mg/m³.



2.
## Y2CuAs (GGA-PBE)

Data for crystalline Y2CuAs at its relaxed geometry.

Cell lengths 7.301, 7.301, 7.301 Å; angles 31.94, 31.94, 31.94 degrees
Element x y z (fractional)
As1 0.449 0.449 0.449
Cu1 0.805 0.805 0.805
Y1 0.026 0.026 0.026
Y2 0.220 0.220 0.220

Its space group is R3m. As for the size of the total moment: 0.0 μB/f.u. The calculation puts the mass density at 5.43 Mg/m³.



Values for energy of formation, meV per atom, ordered as above
-732; -576
Values for calculated total energy, eV/atom, ordered as above
-6.15; -5.99